DFT (PBE-GGA) results for a geometry-optimized BaMgZn structure.

Computed properties:
Formation enthalpy at 0 K ... 0.021 eV per atom
Spin magnetization ... 0.0 μB per formula unit

a b c (Å): 5.3067 5.3067 5.3067
angles (deg): 60.00 60.00 60.00
Last column: nearest neighbours and their distance in Å.
Fractional coordinates of all 3 atoms:
Ba 0.0000 0.0000 0.0000  4 Zn 3.25
Mg 0.5000 0.5000 0.5000  4 Zn 3.25
Zn 0.7500 0.7500 0.7500  4 Mg 3.25, 4 Ba 3.25

=====

DFT (PBE-GGA) results for a geometry-optimized Ba3Mg2Zn structure.

Computed properties:
Formation enthalpy at 0 K ... -0.088 eV per atom
Spin magnetization ... 0.0 μB per formula unit

a b c (Å): 4.2375 4.2375 13.0515
angles (deg): 90.00 90.00 90.00
Last column: nearest neighbours and their distance in Å.
Fractional coordinates of all 6 atoms:
Ba 0.0000 0.0000 0.0000  8 Mg 3.74
Ba 0.0000 0.0000 0.6520  4 Zn 3.59, 4 Mg 3.78, 1 Ba 3.97
Ba 0.0000 0.0000 0.3480  4 Zn 3.59, 4 Mg 3.78, 1 Ba 3.97
Mg 0.5000 0.5000 0.8290  8 Ba 3.74-3.78
Mg 0.5000 0.5000 0.1710  8 Ba 3.74-3.78
Zn 0.5000 0.5000 0.5000  8 Ba 3.59

=====

DFT (PBE-GGA) results for a geometry-optimized BaMg9Zn3 structure.

Computed properties:
Formation enthalpy at 0 K ... -0.096 eV per atom
Spin magnetization ... 0.0 μB per formula unit

a b c (Å): 5.7169 7.6414 7.7789
angles (deg): 82.65 68.44 69.64
Last column: nearest neighbours and their distance in Å.
Fractional coordinates of all 13 atoms:
Ba 0.0000 0.0000 0.0000  14 Mg 3.61-3.82, 6 Zn 3.89
Mg 0.7119 0.7819 0.7721  3 Zn 2.88-2.92, 5 Mg 3.03-3.20
Mg 0.2881 0.2181 0.2279  3 Zn 2.88-2.92, 5 Mg 3.03-3.20
Mg 0.5160 0.2181 0.7721  3 Zn 2.88-2.92, 5 Mg 3.03-3.20
Mg 0.4840 0.7819 0.2279  3 Zn 2.88-2.92, 5 Mg 3.03-3.20
Mg 0.6537 0.3463 0.3617  6 Mg 2.98-3.27, 3 Zn 3.02-3.21
Mg 0.3463 0.6537 0.6383  6 Mg 2.98-3.27, 3 Zn 3.02-3.21
Mg 0.9846 0.6537 0.3617  6 Mg 2.98-3.27, 3 Zn 3.02-3.21
Mg 0.0154 0.3463 0.6383  6 Mg 2.98-3.27, 3 Zn 3.02-3.21
Mg 0.0000 0.5000 0.0000  2 Zn 2.86, 8 Mg 3.03-3.15
Zn 0.5000 0.5000 0.0000  6 Mg 2.86-2.92
Zn 0.0000 0.0000 0.5000  2 Zn 2.86, 8 Mg 2.88-3.04
Zn 0.5000 0.0000 0.5000  2 Zn 2.86, 8 Mg 2.88-3.04

=====

DFT (PBE-GGA) results for a geometry-optimized BaMgZn structure.

Computed properties:
Formation enthalpy at 0 K ... -0.050 eV per atom
Spin magnetization ... 0.0 μB per formula unit

a b c (Å): 6.7290 6.7289 3.8613
angles (deg): 73.33 73.32 33.35
Last column: nearest neighbours and their distance in Å.
Fractional coordinates of all 3 atoms:
Ba 0.0059 0.0059 0.9941  5 Mg 3.53-3.79, 5 Zn 3.64-3.75, 4 Ba 3.86
Mg 0.2928 0.2928 0.7072  4 Zn 2.95
Zn 0.7013 0.7013 0.2987  4 Mg 2.95

=====

DFT (PBE-GGA) results for a geometry-optimized BaMg3Zn3 structure.

Computed properties:
Formation enthalpy at 0 K ... -0.035 eV per atom
Spin magnetization ... 0.0 μB per formula unit

a b c (Å): 4.8542 8.9334 8.9334
angles (deg): 120.00 90.00 90.00
Last column: nearest neighbours and their distance in Å.
Fractional coordinates of all 14 atoms:
Ba 0.2500 0.3333 0.6667  9 Zn 3.12-3.31
Ba 0.7500 0.6667 0.3333  9 Zn 3.12-3.31
Mg 0.7500 0.7506 0.7767  4 Zn 2.80-3.11
Mg 0.7500 0.0260 0.2494  4 Zn 2.80-3.11
Mg 0.2500 0.7767 0.0260  4 Zn 2.80-3.11
Mg 0.7500 0.2233 0.9740  4 Zn 2.80-3.11
Mg 0.2500 0.9740 0.7506  4 Zn 2.80-3.11
Mg 0.2500 0.2494 0.2233  4 Zn 2.80-3.11
Zn 0.7500 0.5539 0.9418  4 Mg 2.80-3.11, 2 Zn 2.98, 1 Ba 3.12
Zn 0.7500 0.3879 0.4461  4 Mg 2.80-3.11, 2 Zn 2.98, 1 Ba 3.12
Zn 0.2500 0.9418 0.3879  4 Mg 2.80-3.11, 2 Zn 2.98, 1 Ba 3.12
Zn 0.7500 0.0582 0.6121  4 Mg 2.80-3.11, 2 Zn 2.98, 1 Ba 3.12
Zn 0.2500 0.6121 0.5539  4 Mg 2.80-3.11, 2 Zn 2.98, 1 Ba 3.12
Zn 0.2500 0.4461 0.0582  4 Mg 2.80-3.11, 2 Zn 2.98, 1 Ba 3.12

=====

DFT (PBE-GGA) results for a geometry-optimized Ba2MgZn7 structure.

Computed properties:
Formation enthalpy at 0 K ... -0.165 eV per atom
Spin magnetization ... 0.0 μB per formula unit

a b c (Å): 4.5480 4.5480 11.3899
angles (deg): 90.00 90.00 90.00
Last column: nearest neighbours and their distance in Å.
Fractional coordinates of all 10 atoms:
Ba 0.5000 0.0000 0.7371  14 Zn 3.50-3.76, 2 Mg 3.76
Ba 0.0000 0.5000 0.2629  14 Zn 3.50-3.76, 2 Mg 3.76
Mg 0.5000 0.5000 0.0000  4 Zn 2.79
Zn 0.0000 0.5000 0.8583  3 Zn 2.75-2.79, 2 Mg 2.79
Zn 0.5000 0.0000 0.3831  5 Zn 2.64-2.75
Zn 0.5000 0.0000 0.1417  3 Zn 2.75-2.79, 2 Mg 2.79
Zn 0.0000 0.5000 0.6169  5 Zn 2.64-2.75
Zn 0.0000 0.0000 0.5000  4 Zn 2.64
Zn 0.0000 0.0000 0.0000  4 Zn 2.79
Zn 0.5000 0.5000 0.5000  4 Zn 2.64

=====

DFT (PBE-GGA) results for a geometry-optimized Ba2MgZn structure.

Computed properties:
Formation enthalpy at 0 K ... 0.164 eV per atom
Spin magnetization ... 0.0 μB per formula unit

a b c (Å): 9.4407 9.4407 7.6824
angles (deg): 52.09 52.09 90.00
Last column: nearest neighbours and their distance in Å.
Fractional coordinates of all 8 atoms:
Mg 0.5000 0.5000 0.0000  4 Ba 3.73, 2 Zn 3.80
Mg 0.2500 0.7500 0.5000  4 Ba 3.73, 2 Zn 3.80
Zn 0.0000 0.0000 0.0000  4 Ba 3.24
Zn 0.7500 0.2500 0.5000  4 Ba 3.24
Ba 0.6632 0.1250 0.2500  2 Zn 3.24
Ba 0.0868 0.6250 0.2500  2 Zn 3.24
Ba 0.3750 0.3368 0.7500  2 Zn 3.24
Ba 0.8750 0.9132 0.7500  2 Zn 3.24

=====

DFT (PBE-GGA) results for a geometry-optimized BaMgZn2 structure.

Computed properties:
Formation enthalpy at 0 K ... -0.012 eV per atom
Spin magnetization ... 0.0 μB per formula unit

a b c (Å): 5.5902 5.5902 5.5902
angles (deg): 132.62 116.94 82.52
Last column: nearest neighbours and their distance in Å.
Fractional coordinates of all 4 atoms:
Ba 0.5152 0.5152 0.0000  4 Mg 3.31-3.47, 4 Zn 3.35-3.41
Mg 0.2008 0.7008 0.5000  3 Zn 3.00-3.20, 2 Ba 3.31
Zn 0.9635 0.9635 0.0000  2 Zn 2.55
Zn 0.8205 0.3205 0.5000  2 Zn 2.55